TbSn2Pd5 GGA-PBE optimized geometry; DFT formation energy = -5.3 eV per formula unit
1.0
4.235 0.000 0.000
0.000 5.743 0.000
0.000 0.000 12.786
Tb Sn Pd
2 4 10
direct
0.000 0.000 0.000 Tb
0.500 0.500 0.500 Tb
0.000 0.500 0.213 Sn
0.000 0.500 0.787 Sn
0.500 0.000 0.287 Sn
0.500 0.000 0.713 Sn
0.000 0.243 0.386 Pd
0.000 0.243 0.614 Pd
0.000 0.500 0.000 Pd
0.000 0.757 0.386 Pd
0.000 0.757 0.614 Pd
0.500 0.000 0.500 Pd
0.500 0.257 0.114 Pd
0.500 0.257 0.886 Pd
0.500 0.743 0.114 Pd
0.500 0.743 0.886 Pd